LiYPb: optimized geometry, PBE.

```
data_LiYPb
_chemical_formula_sum 'Li4 Y4 Pb4'
_space_group_name_H-M_alt 'C m m m'
_space_group_IT_number 65
_space_group_name_Hall '-C 2 2'
_cell_length_a 4.6857
_cell_length_b 15.3025
_cell_length_c 4.2446
_cell_angle_alpha 90.00
_cell_angle_beta 90.00
_cell_angle_gamma 90.00
loop_
_atom_site_label
_atom_site_fract_x
_atom_site_fract_y
_atom_site_fract_z
Li1 0.0000 0.0000 0.0000
Li2 0.0000 0.5000 0.5000
Y1 0.0000 0.1645 0.5000
Pb1 0.0000 0.3592 0.0000
```

## Properties
Energy: -52.754 eV for the cell shown